1.
This record from Alexandria describes a relaxed AsC crystal. The functional is PBE.

Geometry as POSCAR:
```
AsC
1.0
-0.182 3.685 -2.169
1.512 -0.150 -4.599
-4.417 0.397 -3.129
As C
2 2
direct
0.994 0.903 0.632
0.938 0.382 0.260
0.415 0.587 0.411
0.106 0.587 0.411
```

Energy of formation from the pure elements, eV/atom: 0.828
Relative energy among the computed polymorphs, meV per atom: 287.9


2.
This record from Alexandria describes a relaxed As4C3 crystal. The functional is PBE.

Geometry as POSCAR:
```
As4C3
1.0
-2.608 -1.544 3.477
3.677 0.060 2.784
-0.978 4.346 1.197
As C
4 3
direct
0.728 0.728 0.728
0.272 0.272 0.728
0.728 0.272 0.272
0.272 0.728 0.272
0.000 0.000 0.500
0.500 0.000 0.000
0.000 0.500 0.000
```

Energy of formation from the pure elements, eV/atom: 0.871
D(E_F), states/eV per atom: 0.2337
Relative energy among the computed polymorphs, meV per atom: 0.0


3.
This record from Alexandria describes a relaxed As2C crystal. The functional is PBE.

Geometry as POSCAR:
```
As2C
1.0
1.530 7.608 0.265
-1.530 7.608 0.265
0.000 2.907 5.889
C As
2 4
direct
0.543 0.543 0.007
0.457 0.457 0.993
0.875 0.875 0.006
0.125 0.125 0.994
0.092 0.092 0.407
0.908 0.908 0.593
```

Energy of formation from the pure elements, eV/atom: 0.505
D(E_F), states/eV per atom: 0.3060
Relative energy among the computed polymorphs, meV per atom: 7.7